Below is crystalline NiGeRuPt2 at its relaxed geometry, with properties calculated at the PBE level.

The calculated formation energy comes out at 1.26 eV/atom. The calculation puts the calculated volume at 21.5 Å³/atom.

The structure belongs to space group P4/mmm (No. 123); the cell edges are 4.841, 4.841 and 4.577 Å and the angles 90.00°, 90.00° and 90.00°. Symmetry generates all atoms from Ni at (0.000, 0.000, 0.000), Ge at (0.500, 0.500, 0.000), Ru at (0.500, 0.500, 0.500) and Pt at (0.000, 0.500, 0.500).